# GGA-PBE Mg3ScB, relaxed
# calculated volume	98.5	Å³ per cell
# E	-16.220	eV/f.u.
# energy relative to the elements	0.3146	eV/atom
data_Mg3ScB
_symmetry_space_group_name_H-M 'P 1'
_symmetry_Int_Tables_number 1
_symmetry_space_group_name_Hall 'P 1'
_cell_length_a 4.618
_cell_length_b 4.618
_cell_length_c 4.618
_cell_angle_alpha 90.00
_cell_angle_beta 90.00
_cell_angle_gamma 90.00
loop_
_atom_site_label
_atom_site_type_symbol
_atom_site_fract_x
_atom_site_fract_y
_atom_site_fract_z
Mg1 Mg 0.000 0.000 0.500
Mg2 Mg 0.000 0.500 0.000
Mg3 Mg 0.500 0.000 0.000
Sc1 Sc 0.500 0.500 0.500
B1 B 0.000 0.000 0.000